1.
Density functional theory data (PBE-GGA) for crystalline TaBe2Rh at its relaxed geometry.

a = 7.5284 Å, b = 2.8389 Å, c = 4.9193 Å
α = 90.00°, β = 104.58°, γ = 90.00°
Space group C2/m (No. 12)
One atom of each set of equivalent atoms:
Ta 0.0000 0.0000 0.0000 [2 per cell]
Be 0.2388 0.0000 0.6763 [4 per cell]
Rh 0.0000 0.5000 0.5000 [2 per cell]

Results
- Crystal system: monoclinic

=====

2.
Density functional theory data (PBE-GGA) for crystalline TaBeRh2 at its relaxed geometry.

a = 4.6845 Å, b = 4.9502 Å, c = 5.4943 Å
α = 114.78°, β = 102.80°, γ = 90.78°
Space group P1 (No. 1)
One atom of each set of equivalent atoms:
Ta 0.0000 0.0000 0.0000 [1 per cell]
Ta 0.3795 0.5825 0.6184 [1 per cell]
Be 0.7199 0.4767 0.0194 [1 per cell]
Be 0.9016 0.2999 0.6488 [1 per cell]
Rh 0.2441 0.5669 0.1034 [1 per cell]
Rh 0.3936 0.1068 0.6544 [1 per cell]
Rh 0.5647 0.1130 0.2013 [1 per cell]
Rh 0.8458 0.7371 0.4760 [1 per cell]

Results
- Crystal system: triclinic

=====

3.
Density functional theory data (PBE-GGA) for crystalline TaBe2Rh2 at its relaxed geometry.

a = 6.7777 Å, b = 6.7777 Å, c = 2.8086 Å
α = 90.00°, β = 90.00°, γ = 90.00°
Space group P4/mbm (No. 127)
One atom of each set of equivalent atoms:
Ta 0.0000 0.0000 0.0000 [2 per cell]
Be 0.1490 0.3510 0.5000 [4 per cell]
Rh 0.1456 0.6456 0.0000 [4 per cell]

Results
- Crystal system: tetragonal

=====

4.
Density functional theory data (PBE-GGA) for crystalline TaBe2Rh at its relaxed geometry.

a = 3.7264 Å, b = 3.7264 Å, c = 3.6517 Å
α = 90.00°, β = 90.00°, γ = 90.00°
Space group P4/mmm (No. 123)
One atom of each set of equivalent atoms:
Ta 0.0000 0.0000 0.0000 [1 per cell]
Be 0.0000 0.5000 0.5000 [2 per cell]
Rh 0.5000 0.5000 0.0000 [1 per cell]

Results
- Crystal system: tetragonal

=====

5.
Density functional theory data (PBE-GGA) for crystalline TaBeRh2 at its relaxed geometry.

a = 4.6070 Å, b = 4.8322 Å, c = 5.1146 Å
α = 88.29°, β = 80.97°, γ = 89.20°
Space group P1 (No. 1)
One atom of each set of equivalent atoms:
Ta 0.0000 0.0000 0.0000 [1 per cell]
Ta 0.4221 0.7593 0.4480 [1 per cell]
Be 0.5130 0.2699 0.7454 [1 per cell]
Be 0.9455 0.4836 0.2904 [1 per cell]
Rh 0.0255 0.4807 0.7658 [1 per cell]
Rh 0.4547 0.2696 0.2344 [1 per cell]
Rh 0.5058 0.7599 0.9380 [1 per cell]
Rh 0.9083 0.0056 0.5008 [1 per cell]

Results
- Crystal system: triclinic

=====

6.
Density functional theory data (PBE-GGA) for crystalline TaBeRh2 at its relaxed geometry.

a = 9.0442 Å, b = 5.6500 Å, c = 4.4162 Å
α = 90.00°, β = 100.28°, γ = 90.00°
Space group C2/m (No. 12)
One atom of each set of equivalent atoms:
Ta 0.1442 0.0000 0.2910 [4 per cell]
Be 0.1086 0.5000 0.2449 [4 per cell]
Rh 0.1130 0.2552 0.7751 [8 per cell]

Results
- Crystal system: monoclinic

=====

7.
Density functional theory data (PBE-GGA) for crystalline TaBeRh2 at its relaxed geometry.

a = 6.4807 Å, b = 8.5112 Å, c = 4.0306 Å
α = 90.00°, β = 90.00°, γ = 90.00°
Space group Cmcm (No. 63)
One atom of each set of equivalent atoms:
Ta 0.0000 0.1335 0.2500 [4 per cell]
Be 0.0000 0.3771 0.7500 [4 per cell]
Rh 0.2268 0.3818 0.2500 [8 per cell]

Results
- Crystal system: orthorhombic

=====

8.
Density functional theory data (PBE-GGA) for crystalline Ta4BeRh at its relaxed geometry.

a = 7.5290 Å, b = 7.5290 Å, c = 7.5290 Å
α = 90.00°, β = 90.00°, γ = 90.00°
Space group F-43m (No. 216)
One atom of each set of equivalent atoms:
Ta 0.1243 0.1243 0.1243 [16 per cell]
Be 0.2500 0.2500 0.7500 [4 per cell]
Rh 0.0000 0.0000 0.5000 [4 per cell]

Results
- Crystal system: cubic

=====

9.
Density functional theory data (PBE-GGA) for crystalline Ta4Be2Rh at its relaxed geometry.

a = 4.7602 Å, b = 4.7602 Å, c = 11.4776 Å
α = 90.00°, β = 90.00°, γ = 90.00°
Space group I4/mmm (No. 139)
One atom of each set of equivalent atoms:
Ta 0.0000 0.0000 0.2208 [4 per cell]
Ta 0.0000 0.5000 0.0000 [4 per cell]
Be 0.0000 0.0000 0.4168 [4 per cell]
Rh 0.0000 0.0000 0.0000 [2 per cell]

Results
- Crystal system: tetragonal

=====

10.
Density functional theory data (PBE-GGA) for crystalline TaBe2Rh at its relaxed geometry.

a = 2.8319 Å, b = 4.6079 Å, c = 8.0685 Å
α = 90.00°, β = 90.00°, γ = 90.00°
Space group Immm (No. 71)
One atom of each set of equivalent atoms:
Ta 0.0000 0.0000 0.0000 [2 per cell]
Be 0.0000 0.5000 0.2321 [4 per cell]
Rh 0.0000 0.0000 0.5000 [2 per cell]

Results
- Crystal system: orthorhombic

=====

11.
Density functional theory data (PBE-GGA) for crystalline TaBe2Rh at its relaxed geometry.

a = 2.8168 Å, b = 2.8168 Å, c = 22.8568 Å
α = 90.00°, β = 90.00°, γ = 120.00°
Space group R-3m (No. 166, hexagonal axes)
One atom of each set of equivalent atoms:
Ta 0.0000 0.0000 0.0000 [3 per cell]
Be 0.0000 0.0000 0.2393 [6 per cell]
Rh 0.0000 0.0000 0.5000 [3 per cell]

Results
- Crystal system: trigonal

=====

12.
Density functional theory data (PBE-GGA) for crystalline Ta2BeRh at its relaxed geometry.

a = 6.2548 Å, b = 6.2548 Å, c = 6.2548 Å
α = 90.00°, β = 90.00°, γ = 90.00°
Space group F-43m (No. 216)
One atom of each set of equivalent atoms:
Ta 0.0000 0.0000 0.0000 [4 per cell]
Ta 0.2500 0.2500 0.2500 [4 per cell]
Be 0.0000 0.0000 0.5000 [4 per cell]
Rh 0.2500 0.2500 0.7500 [4 per cell]

Results
- Crystal system: cubic

=====

13.
Density functional theory data (PBE-GGA) for crystalline Ta2BeRh at its relaxed geometry.

a = 3.9220 Å, b = 3.9220 Å, c = 7.8590 Å
α = 90.00°, β = 90.00°, γ = 90.00°
Space group I4/mmm (No. 139)
One atom of each set of equivalent atoms:
Ta 0.0000 0.5000 0.2500 [4 per cell]
Be 0.0000 0.0000 0.0000 [2 per cell]
Rh 0.0000 0.0000 0.5000 [2 per cell]

Results
- Crystal system: tetragonal

=====

14.
Density functional theory data (PBE-GGA) for crystalline TaBeRh2 at its relaxed geometry.

a = 5.1979 Å, b = 4.1847 Å, c = 5.6922 Å
α = 90.00°, β = 116.88°, γ = 90.00°
Space group P2_1/m (No. 11)
One atom of each set of equivalent atoms:
Ta 0.2102 0.2500 0.3994 [2 per cell]
Be 0.3471 0.7500 0.1151 [2 per cell]
Rh 0.1046 0.2500 0.8702 [2 per cell]
Rh 0.3594 0.7500 0.7101 [2 per cell]

Results
- Crystal system: monoclinic

=====

15.
Density functional theory data (PBE-GGA) for crystalline TaBeRh2 at its relaxed geometry.

a = 2.8389 Å, b = 3.7146 Å, c = 5.3630 Å
α = 90.00°, β = 90.16°, γ = 90.00°
Space group Pm (No. 6)
One atom of each set of equivalent atoms:
Ta 0.0000 0.0000 0.0000 [1 per cell]
Be 0.5021 0.5000 0.7039 [1 per cell]
Rh 0.0051 0.0000 0.5527 [1 per cell]
Rh 0.5002 0.5000 0.2355 [1 per cell]

Results
- Crystal system: monoclinic

=====

16.
Density functional theory data (PBE-GGA) for crystalline TaBeRh2 at its relaxed geometry.

a = 4.4303 Å, b = 4.6923 Å, c = 5.4165 Å
α = 91.79°, β = 95.35°, γ = 91.93°
Space group P1 (No. 1)
One atom of each set of equivalent atoms:
Ta 0.0000 0.0000 0.0000 [1 per cell]
Ta 0.4952 0.2899 0.4966 [1 per cell]
Be 0.5261 0.7796 0.2126 [1 per cell]
Be 0.9600 0.9302 0.5120 [1 per cell]
Rh 0.0360 0.5357 0.2609 [1 per cell]
Rh 0.4758 0.8136 0.6942 [1 per cell]
Rh 0.5075 0.2970 0.0167 [1 per cell]
Rh 0.9870 0.4797 0.7565 [1 per cell]

Results
- Crystal system: triclinic

=====

17.
Density functional theory data (PBE-GGA) for crystalline TaBe5Rh6 at its relaxed geometry.

a = 4.0779 Å, b = 5.7828 Å, c = 12.0806 Å
α = 90.00°, β = 90.00°, γ = 90.00°
Space group Immm (No. 71)
One atom of each set of equivalent atoms:
Ta 0.0000 0.0000 0.0000 [2 per cell]
Be 0.0000 0.0000 0.3281 [4 per cell]
Be 0.0000 0.5000 0.0000 [2 per cell]
Be 0.0000 0.5000 0.3390 [4 per cell]
Rh 0.0000 0.2305 0.5000 [4 per cell]
Rh 0.0000 0.2603 0.1718 [8 per cell]

Results
- Crystal system: orthorhombic

=====

18.
Density functional theory data (PBE-GGA) for crystalline TaBeRh3 at its relaxed geometry.

a = 4.6929 Å, b = 4.6929 Å, c = 4.6929 Å
α = 90.00°, β = 90.00°, γ = 90.00°
Space group Pm-3m (No. 221)
One atom of each set of equivalent atoms:
Ta 0.0000 0.0000 0.0000 [1 per cell]
Be 0.5000 0.5000 0.5000 [1 per cell]
Rh 0.0000 0.0000 0.5000 [3 per cell]

Results
- Crystal system: cubic

=====

19.
Density functional theory data (PBE-GGA) for crystalline TaBeRh3 at its relaxed geometry.

a = 4.1155 Å, b = 4.1155 Å, c = 4.1155 Å
α = 90.00°, β = 90.00°, γ = 90.00°
Space group Pm-3m (No. 221)
One atom of each set of equivalent atoms:
Ta 0.0000 0.0000 0.0000 [1 per cell]
Be 0.5000 0.5000 0.5000 [1 per cell]
Rh 0.0000 0.5000 0.5000 [3 per cell]

Results
- Crystal system: cubic

=====

20.
Density functional theory data (PBE-GGA) for crystalline Ta3BeRh at its relaxed geometry.

a = 4.3584 Å, b = 4.3584 Å, c = 4.3584 Å
α = 90.00°, β = 90.00°, γ = 90.00°
Space group Pm-3m (No. 221)
One atom of each set of equivalent atoms:
Ta 0.0000 0.0000 0.5000 [3 per cell]
Be 0.0000 0.0000 0.0000 [1 per cell]
Rh 0.5000 0.5000 0.5000 [1 per cell]

Results
- Crystal system: cubic

=====

Q: Which ΔE_f values were calculated for the entries above? A: -51, -166, -171, -40, -183, -201, -184, 312, 746, 4, 15, 40, -44, -202, -150, -168, -751, 562, -126, 232, in kJ/mol of formula units.
Q: Which total moment values were calculated for the entries above? A: 0.0, 0.0, 0.0, 0.0, 0.0, 0.0, 0.0, 0.0, 0.0, 0.0, 0.0, 1.4, 0.0, 0.0, 0.0, 0.0, 0.0, 0.0, 0.0, 0.0, in μB per formula unit.